[1]
{
  "formula": "YbCu5Sn",
  "functional": "GGA-PBE",
  "state": "relaxed",
  "lattice": [[8.324, 0.000, 0.000], [0.000, 5.066, 0.000], [0.000, 0.000, 10.496]],
  "species": ["Yb", "Yb", "Yb", "Yb", "Cu", "Cu", "Cu", "Cu", "Cu", "Cu", "Cu", "Cu", "Cu", "Cu", "Cu", "Cu", "Cu", "Cu", "Cu", "Cu", "Cu", "Cu", "Cu", "Cu", "Sn", "Sn", "Sn", "Sn"],
  "frac_coords": [[0.245, 0.250, 0.060], [0.255, 0.750, 0.560], [0.745, 0.250, 0.440], [0.755, 0.750, 0.940], [0.061, 0.750, 0.102], [0.069, 0.001, 0.312], [0.069, 0.499, 0.312], [0.084, 0.250, 0.517], [0.182, 0.250, 0.745], [0.318, 0.750, 0.245], [0.416, 0.750, 0.017], [0.431, 0.501, 0.812], [0.431, 0.999, 0.812], [0.439, 0.250, 0.602], [0.561, 0.750, 0.398], [0.569, 0.001, 0.188], [0.569, 0.499, 0.188], [0.584, 0.250, 0.983], [0.682, 0.250, 0.755], [0.818, 0.750, 0.255], [0.916, 0.750, 0.483], [0.931, 0.501, 0.688], [0.931, 0.999, 0.688], [0.939, 0.250, 0.898], [0.139, 0.750, 0.859], [0.361, 0.250, 0.359], [0.639, 0.750, 0.641], [0.861, 0.250, 0.141]],
  "magnetic_moment_mub_per_fu": 0.21,
  "formation_energy_mev_per_atom": -219
}



[2]
{
  "formula": "Yb5CuSn3",
  "functional": "GGA-PBE",
  "state": "relaxed",
  "lattice": [[9.318, 0.000, 0.000], [-4.659, 8.070, 0.000], [0.000, 0.000, 6.647]],
  "species": ["Yb", "Yb", "Yb", "Yb", "Yb", "Yb", "Yb", "Yb", "Yb", "Yb", "Cu", "Cu", "Sn", "Sn", "Sn", "Sn", "Sn", "Sn"],
  "frac_coords": [[0.000, 0.258, 0.250], [0.000, 0.742, 0.750], [0.258, 0.000, 0.250], [0.258, 0.258, 0.750], [0.333, 0.667, 0.000], [0.333, 0.667, 0.500], [0.667, 0.333, 0.000], [0.667, 0.333, 0.500], [0.742, 0.000, 0.750], [0.742, 0.742, 0.250], [0.000, 0.000, 0.000], [0.000, 0.000, 0.500], [0.000, 0.396, 0.750], [0.000, 0.604, 0.250], [0.396, 0.000, 0.750], [0.396, 0.396, 0.250], [0.604, 0.000, 0.250], [0.604, 0.604, 0.750]],
  "magnetic_moment_mub_per_fu": 0.29,
  "formation_energy_mev_per_atom": -574
}



[3]
{
  "formula": "ZnCu2Sn",
  "functional": "GGA-PBE",
  "state": "relaxed",
  "lattice": [[3.998, 0.000, 0.000], [0.000, 3.998, 0.000], [0.000, 0.000, 3.931]],
  "species": ["Zn", "Cu", "Cu", "Sn"],
  "frac_coords": [[0.000, 0.000, 0.000], [0.000, 0.500, 0.500], [0.500, 0.000, 0.500], [0.500, 0.500, 0.000]],
  "magnetic_moment_mub_per_fu": 0.00,
  "formation_energy_mev_per_atom": 88
}



[4]
{
  "formula": "ZnCuSn2",
  "functional": "GGA-PBE",
  "state": "relaxed",
  "lattice": [[1.598, 0.923, 9.964], [-1.598, 0.923, 9.964], [0.000, -1.846, 9.964]],
  "species": ["Zn", "Cu", "Sn", "Sn"],
  "frac_coords": [[0.000, 0.000, 0.000], [0.500, 0.500, 0.500], [0.095, 0.095, 0.095], [0.905, 0.905, 0.905]],
  "magnetic_moment_mub_per_fu": 0.00,
  "formation_energy_mev_per_atom": 213
}



[5]
{
  "formula": "Zn2CuSn",
  "functional": "GGA-PBE",
  "state": "relaxed",
  "lattice": [[2.112, 1.219, 4.761], [-2.112, 1.219, 4.761], [0.000, -2.439, 4.761]],
  "species": ["Zn", "Zn", "Cu", "Sn"],
  "frac_coords": [[0.214, 0.214, 0.214], [0.786, 0.786, 0.786], [0.500, 0.500, 0.500], [0.000, 0.000, 0.000]],
  "magnetic_moment_mub_per_fu": 0.00,
  "formation_energy_mev_per_atom": 112
}



[6]
{
  "formula": "ZnCuSn",
  "functional": "GGA-PBE",
  "state": "relaxed",
  "lattice": [[-1.632, 1.632, 5.115], [1.632, -1.632, 5.115], [1.632, 1.632, -5.115]],
  "species": ["Zn", "Cu", "Sn"],
  "frac_coords": [[0.000, 0.000, 0.000], [0.384, 0.384, 0.000], [0.704, 0.704, 0.000]],
  "magnetic_moment_mub_per_fu": 0.00,
  "formation_energy_mev_per_atom": 131
}



[7]
{
  "formula": "Zn3Cu7Sn",
  "functional": "GGA-PBE",
  "state": "relaxed",
  "lattice": [[4.249, -4.384, 0.000], [4.249, 4.384, 0.000], [-2.063, 0.000, 4.445]],
  "species": ["Zn", "Zn", "Zn", "Cu", "Cu", "Cu", "Cu", "Cu", "Cu", "Cu", "Sn"],
  "frac_coords": [[0.000, 0.000, 0.000], [0.206, 0.794, 0.500], [0.794, 0.206, 0.500], [0.052, 0.583, 0.808], [0.211, 0.211, 0.528], [0.417, 0.948, 0.192], [0.500, 0.500, 0.500], [0.583, 0.052, 0.808], [0.789, 0.789, 0.472], [0.948, 0.417, 0.192], [0.500, 0.500, 0.000]],
  "magnetic_moment_mub_per_fu": 0.00,
  "formation_energy_mev_per_atom": 149
}



[8]
{
  "formula": "ZnCu2Sn",
  "functional": "GGA-PBE",
  "state": "relaxed",
  "lattice": [[3.256, 0.000, 0.000], [0.000, 3.256, 0.000], [0.000, 0.000, 5.984]],
  "species": ["Zn", "Cu", "Cu", "Sn"],
  "frac_coords": [[0.000, 0.000, 0.000], [0.500, 0.500, 0.213], [0.500, 0.500, 0.787], [0.000, 0.000, 0.500]],
  "magnetic_moment_mub_per_fu": 0.00,
  "formation_energy_mev_per_atom": 76
}



[9]
{
  "formula": "Zn3Cu3Sn",
  "functional": "GGA-PBE",
  "state": "relaxed",
  "lattice": [[6.642, 0.000, 0.000], [0.000, 6.642, 0.000], [0.000, 0.000, 6.642]],
  "species": ["Zn", "Zn", "Zn", "Zn", "Zn", "Zn", "Cu", "Cu", "Cu", "Cu", "Cu", "Cu", "Sn", "Sn"],
  "frac_coords": [[0.000, 0.250, 0.500], [0.000, 0.750, 0.500], [0.250, 0.500, 0.000], [0.500, 0.000, 0.250], [0.500, 0.000, 0.750], [0.750, 0.500, 0.000], [0.000, 0.500, 0.250], [0.000, 0.500, 0.750], [0.250, 0.000, 0.500], [0.500, 0.250, 0.000], [0.500, 0.750, 0.000], [0.750, 0.000, 0.500], [0.000, 0.000, 0.000], [0.500, 0.500, 0.500]],
  "magnetic_moment_mub_per_fu": 0.00,
  "formation_energy_mev_per_atom": 535
}



[10]
{
  "formula": "ZnCuSn",
  "functional": "GGA-PBE",
  "state": "relaxed",
  "lattice": [[4.274, 0.000, 0.000], [-2.137, 3.701, 0.000], [0.000, 0.000, 3.482]],
  "species": ["Zn", "Cu", "Sn"],
  "frac_coords": [[0.000, 0.000, 0.000], [0.333, 0.667, 0.993], [0.667, 0.333, 0.499]],
  "magnetic_moment_mub_per_fu": 0.00,
  "formation_energy_mev_per_atom": 130
}



[11]
{
  "formula": "ZnCu2Sn",
  "functional": "GGA-PBE",
  "state": "relaxed",
  "lattice": [[1.742, 1.005, 6.654], [-1.742, 1.005, 6.654], [0.000, -2.011, 6.654]],
  "species": ["Zn", "Cu", "Cu", "Sn"],
  "frac_coords": [[0.000, 0.000, 0.000], [0.595, 0.595, 0.595], [0.738, 0.738, 0.738], [0.167, 0.167, 0.167]],
  "magnetic_moment_mub_per_fu": 0.00,
  "formation_energy_mev_per_atom": 159
}



[12]
{
  "formula": "Zn2CuSn",
  "functional": "GGA-PBE",
  "state": "relaxed",
  "lattice": [[-3.796, 3.796, 2.629], [3.796, -3.796, 2.629], [3.796, 3.796, -2.629]],
  "species": ["Zn", "Zn", "Zn", "Zn", "Cu", "Cu", "Sn", "Sn"],
  "frac_coords": [[0.082, 0.625, 0.957], [0.375, 0.332, 0.457], [0.668, 0.125, 0.043], [0.875, 0.918, 0.543], [0.000, 0.000, 0.000], [0.750, 0.250, 0.500], [0.250, 0.750, 0.500], [0.500, 0.500, 0.000]],
  "magnetic_moment_mub_per_fu": 0.00,
  "formation_energy_mev_per_atom": 203
}



[13]
{
  "formula": "Zn2CuSn2",
  "functional": "GGA-PBE",
  "state": "relaxed",
  "lattice": [[6.997, 0.000, 0.000], [0.000, 6.997, 0.000], [0.000, 0.000, 4.402]],
  "species": ["Zn", "Zn", "Zn", "Zn", "Cu", "Cu", "Sn", "Sn", "Sn", "Sn"],
  "frac_coords": [[0.143, 0.357, 0.000], [0.357, 0.857, 0.000], [0.643, 0.143, 0.000], [0.857, 0.643, 0.000], [0.000, 0.000, 0.500], [0.500, 0.500, 0.500], [0.163, 0.663, 0.500], [0.337, 0.163, 0.500], [0.663, 0.837, 0.500], [0.837, 0.337, 0.500]],
  "magnetic_moment_mub_per_fu": 0.00,
  "formation_energy_mev_per_atom": 215,
  "de_polymorph_mev_per_atom": 61
}



[14]
{
  "formula": "Zn2Cu6Sn",
  "functional": "GGA-PBE",
  "state": "relaxed",
  "lattice": [[4.141, -1.890, 0.000], [4.141, 1.890, 0.000], [-2.348, 0.000, 7.927]],
  "species": ["Zn", "Zn", "Cu", "Cu", "Cu", "Cu", "Cu", "Cu", "Sn"],
  "frac_coords": [[0.178, 0.178, 0.254], [0.822, 0.822, 0.746], [0.162, 0.162, 0.553], [0.166, 0.166, 0.868], [0.498, 0.498, 0.655], [0.502, 0.502, 0.345], [0.834, 0.834, 0.132], [0.838, 0.838, 0.447], [0.500, 0.500, 0.000]],
  "magnetic_moment_mub_per_fu": 0.00,
  "formation_energy_mev_per_atom": 0
}



[15]
{
  "formula": "Zn2Cu4Sn",
  "functional": "GGA-PBE",
  "state": "relaxed",
  "lattice": [[-2.436, 2.436, 6.207], [2.436, -2.436, 6.207], [2.436, 2.436, -6.207]],
  "species": ["Zn", "Zn", "Cu", "Cu", "Cu", "Cu", "Sn"],
  "frac_coords": [[0.104, 0.104, 0.000], [0.896, 0.896, 0.000], [0.000, 0.500, 0.500], [0.295, 0.295, 0.000], [0.500, 0.000, 0.500], [0.705, 0.705, 0.000], [0.500, 0.500, 0.000]],
  "magnetic_moment_mub_per_fu": 0.00,
  "formation_energy_mev_per_atom": 640
}



[16]
{
  "formula": "Zn2CuSn",
  "functional": "GGA-PBE",
  "state": "relaxed",
  "lattice": [[1.821, 1.051, 6.759], [-1.821, 1.051, 6.759], [0.000, -2.103, 6.759]],
  "species": ["Zn", "Zn", "Cu", "Sn"],
  "frac_coords": [[0.000, 0.000, 0.000], [0.204, 0.204, 0.204], [0.601, 0.601, 0.601], [0.437, 0.437, 0.437]],
  "magnetic_moment_mub_per_fu": 0.00,
  "formation_energy_mev_per_atom": 223
}



[17]
{
  "formula": "Zn2Cu2Sn",
  "functional": "GGA-PBE",
  "state": "relaxed",
  "lattice": [[7.432, 0.000, 0.000], [0.000, 7.432, 0.000], [0.000, 0.000, 2.895]],
  "species": ["Zn", "Zn", "Zn", "Zn", "Cu", "Cu", "Cu", "Cu", "Sn", "Sn"],
  "frac_coords": [[0.168, 0.332, 0.000], [0.332, 0.832, 0.000], [0.668, 0.168, 0.000], [0.832, 0.668, 0.000], [0.124, 0.624, 0.500], [0.376, 0.124, 0.500], [0.624, 0.876, 0.500], [0.876, 0.376, 0.500], [0.000, 0.000, 0.500], [0.500, 0.500, 0.500]],
  "magnetic_moment_mub_per_fu": 0.00,
  "formation_energy_mev_per_atom": 60,
  "de_polymorph_mev_per_atom": 0
}



[18]
{
  "formula": "Zn2Cu2Sn",
  "functional": "GGA-PBE",
  "state": "relaxed",
  "lattice": [[-1.824, 1.824, 6.196], [1.824, -1.824, 6.196], [1.824, 1.824, -6.196]],
  "species": ["Zn", "Zn", "Cu", "Cu", "Sn"],
  "frac_coords": [[0.250, 0.750, 0.500], [0.750, 0.250, 0.500], [0.102, 0.102, 0.000], [0.898, 0.898, 0.000], [0.500, 0.500, 0.000]],
  "magnetic_moment_mub_per_fu": 0.00,
  "formation_energy_mev_per_atom": 65,
  "de_polymorph_mev_per_atom": 5
}



[19]
{
  "formula": "Zn5Cu3Sn12",
  "functional": "GGA-PBE",
  "state": "relaxed",
  "lattice": [[-7.987, 7.987, 7.987], [7.987, -7.987, 7.987], [7.987, 7.987, -7.987]],
  "species": ["Zn", "Zn", "Zn", "Zn", "Zn", "Zn", "Zn", "Zn", "Zn", "Zn", "Zn", "Zn", "Zn", "Zn", "Zn", "Zn", "Zn", "Zn", "Zn", "Zn", "Cu", "Cu", "Cu", "Cu", "Cu", "Cu", "Cu", "Cu", "Cu", "Cu", "Cu", "Cu", "Sn", "Sn", "Sn", "Sn", "Sn", "Sn", "Sn", "Sn", "Sn", "Sn", "Sn", "Sn", "Sn", "Sn", "Sn", "Sn", "Sn", "Sn", "Sn", "Sn", "Sn", "Sn", "Sn", "Sn", "Sn", "Sn", "Sn", "Sn", "Sn", "Sn", "Sn", "Sn", "Sn", "Sn", "Sn", "Sn", "Sn", "Sn", "Sn", "Sn", "Sn", "Sn", "Sn", "Sn", "Sn", "Sn", "Sn", "Sn"],
  "frac_coords": [[0.000, 0.000, 0.000], [0.000, 0.000, 0.500], [0.000, 0.500, 0.000], [0.000, 0.500, 0.500], [0.125, 0.750, 0.875], [0.125, 0.875, 0.250], [0.250, 0.125, 0.875], [0.250, 0.625, 0.375], [0.375, 0.250, 0.625], [0.375, 0.625, 0.750], [0.500, 0.000, 0.000], [0.500, 0.000, 0.500], [0.500, 0.500, 0.000], [0.500, 0.500, 0.500], [0.625, 0.375, 0.250], [0.625, 0.750, 0.375], [0.750, 0.375, 0.625], [0.750, 0.875, 0.125], [0.875, 0.125, 0.750], [0.875, 0.250, 0.125], [0.125, 0.250, 0.375], [0.125, 0.375, 0.750], [0.250, 0.375, 0.125], [0.250, 0.875, 0.625], [0.375, 0.125, 0.250], [0.375, 0.750, 0.125], [0.625, 0.250, 0.875], [0.625, 0.875, 0.750], [0.750, 0.125, 0.375], [0.750, 0.625, 0.875], [0.875, 0.625, 0.250], [0.875, 0.750, 0.625], [0.063, 0.235, 0.126], [0.063, 0.328, 0.937], [0.063, 0.626, 0.390], [0.063, 0.937, 0.672], [0.110, 0.735, 0.672], [0.110, 0.874, 0.437], [0.126, 0.063, 0.235], [0.126, 0.563, 0.890], [0.172, 0.235, 0.610], [0.172, 0.437, 0.563], [0.235, 0.126, 0.063], [0.235, 0.610, 0.172], [0.265, 0.328, 0.890], [0.265, 0.437, 0.374], [0.328, 0.890, 0.265], [0.328, 0.937, 0.063], [0.374, 0.265, 0.437], [0.374, 0.610, 0.937], [0.390, 0.063, 0.626], [0.390, 0.828, 0.765], [0.437, 0.110, 0.874], [0.437, 0.374, 0.265], [0.437, 0.563, 0.172], [0.437, 0.828, 0.563], [0.563, 0.172, 0.437], [0.563, 0.437, 0.828], [0.563, 0.626, 0.735], [0.563, 0.890, 0.126], [0.610, 0.172, 0.235], [0.610, 0.937, 0.374], [0.626, 0.390, 0.063], [0.626, 0.735, 0.563], [0.672, 0.063, 0.937], [0.672, 0.110, 0.735], [0.735, 0.563, 0.626], [0.735, 0.672, 0.110], [0.765, 0.390, 0.828], [0.765, 0.874, 0.937], [0.828, 0.563, 0.437], [0.828, 0.765, 0.390], [0.874, 0.437, 0.110], [0.874, 0.937, 0.765], [0.890, 0.126, 0.563], [0.890, 0.265, 0.328], [0.937, 0.063, 0.328], [0.937, 0.374, 0.610], [0.937, 0.672, 0.063], [0.937, 0.765, 0.874]],
  "magnetic_moment_mub_per_fu": 0.00,
  "formation_energy_mev_per_atom": 143
}



[20]
{
  "formula": "Zn3CuSn",
  "functional": "GGA-PBE",
  "state": "relaxed",
  "lattice": [[4.649, 0.000, 0.000], [0.000, 4.649, 0.000], [0.000, 0.000, 4.649]],
  "species": ["Zn", "Zn", "Zn", "Cu", "Sn"],
  "frac_coords": [[0.000, 0.000, 0.500], [0.000, 0.500, 0.000], [0.500, 0.000, 0.000], [0.000, 0.000, 0.000], [0.500, 0.500, 0.500]],
  "magnetic_moment_mub_per_fu": 0.00,
  "formation_energy_mev_per_atom": 244,
  "de_polymorph_mev_per_atom": 0
}



[21]
{
  "formula": "Zn2CuSn2",
  "functional": "GGA-PBE",
  "state": "relaxed",
  "lattice": [[6.698, 0.000, 0.000], [0.000, 6.698, 0.000], [0.000, 0.000, 4.455]],
  "species": ["Zn", "Zn", "Zn", "Zn", "Cu", "Cu", "Sn", "Sn", "Sn", "Sn"],
  "frac_coords": [[0.139, 0.361, 0.000], [0.361, 0.861, 0.000], [0.639, 0.139, 0.000], [0.861, 0.639, 0.000], [0.000, 0.000, 0.000], [0.500, 0.500, 0.000], [0.174, 0.674, 0.500], [0.326, 0.174, 0.500], [0.674, 0.826, 0.500], [0.826, 0.326, 0.500]],
  "magnetic_moment_mub_per_fu": 0.00,
  "formation_energy_mev_per_atom": 153,
  "de_polymorph_mev_per_atom": 0
}